P:
## TaCuPt (PBEsol)

Data for a geometry-optimized TaCuPt structure.

Structure (CIF):
```
data_TaCuPt
_chemical_formula_sum 'Ta1 Cu1 Pt1'
_cell_length_a 2.8072
_cell_length_b 2.8072
_cell_length_c 6.5737
_cell_angle_alpha 90.00
_cell_angle_beta 90.00
_cell_angle_gamma 120.00
_space_group_name_H-M_alt 'P 3 m 1'
_space_group_IT_number 156
_space_group_name_Hall 'P 3 -2"'
loop_
_atom_site_label
_atom_site_fract_x
_atom_site_fract_y
_atom_site_fract_z
Ta1 0.0000 0.0000 0.0000
Cu1 0.3333 0.6667 0.6649
Pt1 0.6667 0.3333 0.3401
```

Results
* total magnetization: 0.000 μB/atom

---

Q:
## TaCuPt (PBEsol)

Data for a geometry-optimized TaCuPt structure.

Structure (CIF):
```
data_TaCuPt
_chemical_formula_sum 'Ta1 Cu1 Pt1'
_cell_length_a 4.3104
_cell_length_b 4.3104
_cell_length_c 2.7140
_cell_angle_alpha 90.00
_cell_angle_beta 90.00
_cell_angle_gamma 120.00
_space_group_name_H-M_alt 'P -6 m 2'
_space_group_IT_number 187
_space_group_name_Hall 'P -6 2'
loop_
_atom_site_label
_atom_site_fract_x
_atom_site_fract_y
_atom_site_fract_z
Ta1 0.0000 0.0000 0.0000
Cu1 0.3333 0.6667 0.5000
Pt1 0.6667 0.3333 0.5000
```

Results
* total magnetization: 0.000 μB/atom

---

Which structure above is the least stable one? P is the least stable one.